## Ga3BiMo (GGA-PBEsol)

Data for a relaxed structure of Ga3BiMo.

Cell and atoms, written as POSCAR:
```
Ga3BiMo
1.0
-0.5450 -1.3449 4.6618
1.1969 -4.5834 -1.1824
4.7020 1.0108 0.8413
Bi Ga Mo
1 3 1
Cartesian
2.6770 -2.4587 2.1604 Bi
2.3510 0.5054 0.4207 Ga
0.5985 -2.2917 -0.5912 Ga
-0.2725 -0.6725 2.3309 Ga
0.0000 0.0000 0.0000 Mo
```

Properties
SG: Pm-3m (221)
Calculated density: 7.335 Mg/m³
E_tot: -4.672 eV per atom
Density of states at the Fermi level: 4.81 states/eV/f.u.
DFT formation energy: 542 meV/atom